Record 1
The following is a DFT calculation (GGA-PBE) of a relaxed Sm3CdCl crystal.

```
Sm3CdCl
1.0
5.2770 0.0000 0.0000
0.0000 5.2770 0.0000
0.0000 0.0000 5.2770
Sm Cl Cd
3 1 1
Cartesian
0.0000 0.0000 2.6385
0.0000 2.6385 0.0000
2.6385 0.0000 0.0000
0.0000 0.0000 0.0000
2.6385 2.6385 2.6385
```

* calculated volume: 146.9 Å³ per cell
* density: 6.77 Mg/m³
* formation energy from raw total energies: -0.500 eV per atom
* calculated total energy: -3.88 eV/atom

Record 2
The following is a DFT calculation (GGA-PBE) of a relaxed ScMnBr3 crystal.

```
ScMnBr3
1.0
-2.9633 -4.2583 0.1692
0.4675 -0.1200 5.1682
-4.2360 2.9657 0.4520
Br Sc Mn
3 1 1
Cartesian
-1.4817 -2.1292 0.0846
0.2337 -0.0600 2.5841
-2.1180 1.4829 0.2260
-3.3659 -0.7063 2.8947
0.0000 0.0000 0.0000
```

* calculated volume: 139.9 Å³ per cell
* density: 4.03 Mg/m³
* formation energy from raw total energies: -0.229 eV per atom
* offset from the most stable computed form: 0.343 eV/atom
* calculated total energy: -4.33 eV/atom

- Which of these has the lowest calculated volume?
  ScMnBr3